No. 1
## CaHgOs3 (GGA-PBEsol)

Data for a geometry-optimized CaHgOs3 structure.

The calculated density comes out at 11.39 g/cm³. The calculation puts the volume at 118 Å³/f.u. The magnetization comes out at 3.23 μB per formula unit. For the density of states at the Fermi level, the calculation gives 9.33 states/eV per cell. The energy of formation is 2.637 eV per atom. As for the total energy: -26.16 eV/cell.

The structure belongs to space group Pm-3m (No. 221); the cell edges are 4.908, 4.908 and 4.908 Å and the angles 90.00°, 90.00° and 90.00°. The asymmetric unit holds Ca at (0.000, 0.000, 0.000), Hg at (0.500, 0.500, 0.500) and Os at (0.000, 0.500, 0.500).

No. 2
## CaHgOs2 (GGA-PBEsol)

Data for a geometry-optimized CaHgOs2 structure.

The calculated density comes out at 13.60 g/cm³. The calculation puts the volume at 76 Å³/f.u. The magnetization comes out at 0.00 μB per formula unit. For the density of states at the Fermi level, the calculation gives 3.11 states/eV per cell. The energy of formation is 0.286 eV per atom. As for the total energy: -25.99 eV/cell.

The structure belongs to space group Pmm2 (No. 25); the cell edges are 2.845, 3.652 and 7.299 Å and the angles 90.00°, 90.00° and 90.00°. The asymmetric unit holds Ca at (0.000, 0.000, 0.000), Hg at (0.500, 0.500, 0.297), Os at (0.000, 0.000, 0.563) and Os at (0.500, 0.500, 0.705).

No. 3
## CaHg2P (GGA-PBEsol)

Data for a geometry-optimized CaHg2P structure.

The calculated density comes out at 8.73 g/cm³. The calculation puts the volume at 90 Å³/f.u. The magnetization comes out at 0.00 μB per formula unit. For the density of states at the Fermi level, the calculation gives 4.14 states/eV per cell. The energy of formation is -0.305 eV per atom. As for the total energy: -20.55 eV/cell.

The structure belongs to space group Imm2 (No. 44); the cell edges are 4.407, 5.465 and 7.460 Å and the angles 90.00°, 90.00° and 90.00°. The asymmetric unit holds Ca at (0.000, 0.000, 0.000), Hg at (0.000, 0.000, 0.537), Hg at (0.000, 0.500, 0.775) and P at (0.000, 0.500, 0.234).

No. 4
## Ca3HgP (GGA-PBEsol)

Data for a geometry-optimized Ca3HgP structure.

The calculated density comes out at 3.71 g/cm³. The calculation puts the volume at 157 Å³/f.u. The magnetization comes out at 0.00 μB per formula unit. For the density of states at the Fermi level, the calculation gives 3.37 states/eV per cell. The energy of formation is -0.618 eV per atom. As for the total energy: -15.85 eV/cell.

The structure belongs to space group Pm-3m (No. 221); the cell edges are 5.399, 5.399 and 5.399 Å and the angles 90.00°, 90.00° and 90.00°. The asymmetric unit holds Ca at (0.000, 0.000, 0.500), Hg at (0.500, 0.500, 0.500) and P at (0.000, 0.000, 0.000).

No. 5
## Ca2HgP (GGA-PBEsol)

Data for a geometry-optimized Ca2HgP structure.

The calculated density comes out at 5.63 g/cm³. The calculation puts the volume at 92 Å³/f.u. The magnetization comes out at 0.00 μB per formula unit. For the density of states at the Fermi level, the calculation gives 1.64 states/eV per cell. The calculation puts the distance to the lowest polymorph of the same formula at 0.14 eV per formula unit. The energy of formation is -0.806 eV per atom. As for the total energy: -13.85 eV/cell.

The structure belongs to space group Pmmm (No. 47); the cell edges are 3.563, 3.710 and 6.952 Å and the angles 90.00°, 90.00° and 90.00°. The asymmetric unit holds Ca at (0.000, 0.000, 0.218), Hg at (0.500, 0.500, 0.500) and P at (0.500, 0.500, 0.000).

No. 6
## Ca2HgP (GGA-PBEsol)

Data for a geometry-optimized Ca2HgP structure.

The calculated density comes out at 5.34 g/cm³. The calculation puts the volume at 97 Å³/f.u. The magnetization comes out at 0.00 μB per formula unit. For the density of states at the Fermi level, the calculation gives 1.74 states/eV per cell. The calculation puts the distance to the lowest polymorph of the same formula at 0.00 eV per formula unit. The energy of formation is -0.841 eV per atom. As for the total energy: -27.97 eV/cell.

The structure belongs to space group Amm2 (No. 38); the cell edges are 4.234, 4.192 and 10.932 Å and the angles 90.00°, 90.00° and 90.00°. The asymmetric unit holds Ca at (0.000, 0.000, 0.000), Ca at (0.500, 0.000, 0.277), Hg at (0.500, 0.000, 0.559) and P at (0.000, 0.000, 0.727).

No. 7
## Ca2HgP (GGA-PBEsol)

Data for a geometry-optimized Ca2HgP structure.

The calculated density comes out at 5.56 g/cm³. The calculation puts the volume at 93 Å³/f.u. The magnetization comes out at 0.00 μB per formula unit. For the density of states at the Fermi level, the calculation gives 5.35 states/eV per cell. The calculation puts the distance to the lowest polymorph of the same formula at 0.53 eV per formula unit. The energy of formation is -0.709 eV per atom. As for the total energy: -26.92 eV/cell.

The structure belongs to space group I4/mmm (No. 139); the cell edges are 5.095, 5.095 and 7.171 Å and the angles 90.00°, 90.00° and 90.00°. The asymmetric unit holds Ca at (0.000, 0.500, 0.250), Hg at (0.000, 0.000, 0.000) and P at (0.000, 0.000, 0.500).

No. 8
## Ca2HgP (GGA-PBEsol)

Data for a geometry-optimized Ca2HgP structure.

The calculated density comes out at 5.59 g/cm³. The calculation puts the volume at 93 Å³/f.u. The magnetization comes out at 0.00 μB per formula unit. For the density of states at the Fermi level, the calculation gives 0.85 states/eV per cell. The calculation puts the distance to the lowest polymorph of the same formula at 0.25 eV per formula unit. The energy of formation is -0.778 eV per atom. As for the total energy: -13.74 eV/cell.

The structure belongs to space group P4/mmm (No. 123); the cell edges are 4.870, 4.870 and 3.902 Å and the angles 90.00°, 90.00° and 90.00°. The asymmetric unit holds Ca at (0.000, 0.500, 0.000), Hg at (0.000, 0.000, 0.500) and P at (0.500, 0.500, 0.500).